No. 1
A plane-wave DFT calculation with PBE was carried out for an optimized crystal structure of La3TbPm6Ho2.

a = 6.3229 Å, b = 6.3229 Å, c = 12.0961 Å
α = 95.02°, β = 95.02°, γ = 120.04°
Last column: nearest neighbours and their distance in Å.
Element x y z (fractional)
La 0.0000 0.0000 0.0000  6 La 3.65, 6 Pm 3.71
La 0.3332 0.6668 0.0000  6 La 3.65, 6 Pm 3.71
La 0.6668 0.3332 0.0000  6 La 3.65, 6 Pm 3.71
Tb 0.5000 0.5000 0.5000  6 Pm 3.59, 6 Ho 3.65
Pm 0.0851 0.4188 0.2562  2 Ho 3.59, 1 Tb 3.59, 6 Pm 3.65-3.66, 3 La 3.71
Pm 0.2475 0.2475 0.7438  2 Ho 3.59, 1 Tb 3.59, 6 Pm 3.65, 3 La 3.71
Pm 0.4188 0.0851 0.2562  2 Ho 3.59, 1 Tb 3.59, 6 Pm 3.65-3.66, 3 La 3.71
Pm 0.5812 0.9149 0.7438  2 Ho 3.59, 1 Tb 3.59, 6 Pm 3.65-3.66, 3 La 3.71
Pm 0.7525 0.7525 0.2562  2 Ho 3.59, 1 Tb 3.59, 6 Pm 3.65, 3 La 3.71
Pm 0.9149 0.5812 0.7438  2 Ho 3.59, 1 Tb 3.59, 6 Pm 3.65-3.66, 3 La 3.71
Ho 0.1666 0.8334 0.5000  6 Pm 3.59, 3 Tb 3.65, 3 Ho 3.65
Ho 0.8334 0.1666 0.5000  6 Pm 3.59, 3 Tb 3.65, 3 Ho 3.65

Results
Size of the total moment in μB/cell: 0.00
Crystal system: monoclinic
VASP energy in eV per atom: -4.74
ΔE_f in eV per formula unit: 0.25



No. 2
A plane-wave DFT calculation with PBE was carried out for an optimized crystal structure of MgInI2.

a = 5.7699 Å, b = 5.7699 Å, c = 5.7699 Å
α = 60.00°, β = 60.00°, γ = 60.00°
Last column: nearest neighbours and their distance in Å.
Element x y z (fractional)
Mg 0.0000 0.0000 0.0000  8 I 3.53
In 0.5000 0.5000 0.5000  8 I 3.53
I 0.2500 0.2500 0.2500  4 In 3.53, 4 Mg 3.53
I 0.7500 0.7500 0.7500  4 Mg 3.53, 4 In 3.53

Results
Size of the total moment in μB/cell: 0.47
Energy above the most stable polymorph in this dataset in meV/atom: 81
Crystal system: cubic
Formation energy (no corrections) in kJ per mole of atoms: -26.1
VASP energy in eV per atom: -2.13



No. 3
A plane-wave DFT calculation with PBE was carried out for an optimized crystal structure of Mo2AsI.

a = 8.8167 Å, b = 8.8167 Å, c = 8.8167 Å
α = 149.68°, β = 149.68°, γ = 43.42°
Last column: nearest neighbours and their distance in Å.
Element x y z (fractional)
Mo 0.0473 0.6250 0.9223  2 As 2.48
Mo 0.3750 0.2973 0.4223  2 As 2.48
Mo 0.7027 0.1250 0.0777  2 As 2.48
Mo 0.8750 0.9527 0.5777  2 As 2.48
As 0.0000 0.0000 0.0000  4 Mo 2.48
As 0.7500 0.2500 0.5000  4 Mo 2.48
I 0.2500 0.7500 0.5000  4 Mo 2.79
I 0.5000 0.5000 0.0000  4 Mo 2.79

Results
Size of the total moment in μB/cell: 0.00
Energy above the most stable polymorph in this dataset in meV/atom: 186
Crystal system: tetragonal
Formation energy (no corrections) in kJ per mole of atoms: 73.2
VASP energy in eV per atom: -6.21



No. 4
A plane-wave DFT calculation with PBE was carried out for an optimized crystal structure of Ba2GaPd6Pb.

a = 6.9193 Å, b = 6.9193 Å, c = 8.7667 Å
α = 126.66°, β = 126.66°, γ = 49.36°
Last column: nearest neighbours and their distance in Å.
Element x y z (fractional)
Ba 0.2444 0.2444 0.2869  11 Pd 3.32-3.64
Ba 0.7556 0.7556 0.7131  11 Pd 3.32-3.64
Ga 0.5000 0.5000 0.0000  6 Pd 2.54-2.60
Pd 0.2314 0.7218 0.2169  1 Ga 2.54, 3 Pd 2.72-2.83, 1 Pb 2.73
Pd 0.2540 0.2540 0.8982  1 Ga 2.60, 4 Pd 2.72-2.78, 1 Pb 2.78
Pd 0.2782 0.7686 0.7831  1 Ga 2.54, 3 Pd 2.72-2.83, 1 Pb 2.73
Pd 0.7218 0.2314 0.2169  1 Ga 2.54, 3 Pd 2.72-2.83, 1 Pb 2.73
Pd 0.7460 0.7460 0.1018  1 Ga 2.60, 4 Pd 2.72-2.78, 1 Pb 2.78
Pd 0.7686 0.2782 0.7831  1 Ga 2.54, 3 Pd 2.72-2.83, 1 Pb 2.73
Pb 0.0000 0.0000 0.5000  6 Pd 2.73-2.78

Results
Size of the total moment in μB/cell: 0.00
Crystal system: monoclinic
VASP energy in eV per atom: -4.69
ΔE_f in eV per formula unit: -5.20



No. 5
A plane-wave DFT calculation with PBE was carried out for an optimized crystal structure of K2MnTe.

a = 6.1667 Å, b = 6.1667 Å, c = 6.1667 Å
α = 127.64°, β = 127.64°, γ = 77.20°
Last column: nearest neighbours and their distance in Å.
Element x y z (fractional)
K 0.2500 0.7500 0.5000  4 Mn 3.63, 4 Te 3.63, 4 K 3.85
K 0.7500 0.2500 0.5000  4 Mn 3.63, 4 Te 3.63, 4 K 3.85
Mn 0.0000 0.0000 0.0000  8 K 3.63, 4 Te 3.85
Te 0.5000 0.5000 0.0000  8 K 3.63, 4 Mn 3.85

Results
Size of the total moment in μB/cell: 5.00
Crystal system: tetragonal
Formation energy (no corrections) in kJ per mole of atoms: 5.4
VASP energy in eV per atom: -3.57



No. 6
A plane-wave DFT calculation with PBE was carried out for an optimized crystal structure of BaZn2.

a = 7.0703 Å, b = 7.0703 Å, c = 5.5592 Å
α = 90.00°, β = 90.00°, γ = 142.48°
Last column: nearest neighbours and their distance in Å.
Element x y z (fractional)
Ba 0.0948 0.9052 0.7500  8 Zn 3.25-3.63
Ba 0.9052 0.0948 0.2500  8 Zn 3.25-3.63
Zn 0.2211 0.7789 0.2500  2 Zn 2.56
Zn 0.3672 0.6328 0.7500  2 Zn 2.56
Zn 0.6328 0.3672 0.2500  2 Zn 2.56
Zn 0.7789 0.2211 0.7500  2 Zn 2.56

Results
Size of the total moment in μB/cell: 0.00
Crystal system: orthorhombic
VASP energy in eV per atom: -1.61
ΔE_f in eV per formula unit: -0.35